MnFeH4O2F5 | PBE+U | optimized geometry

Crystal system: orthorhombic
ρ (g cm⁻³): 2.82
E (eV for the cell shown): -140.23
Magnetic moment (μB per cell): 20.00

Unit cell a=7.5383 b=7.5383 c=7.5383 alpha=118.59 beta=84.84 gamma=127.69
With the nearest neighbours (Å) after each atom.
Sites, in units of the cell vectors:
1 Mn 0.0000 0.0000 0.0000  2 O 2.16, 4 F 2.18
2 Mn 0.5000 0.0000 0.5000  2 O 2.16, 4 F 2.18
3 Fe 0.5000 0.0000 0.0000  6 F 1.95-1.98
4 Fe 0.5000 0.5000 0.5000  6 F 1.95-1.98
5 H 0.0238 0.5131 0.3058  1 O 0.98
6 H 0.0238 0.7179 0.5107  1 O 0.98
7 H 0.2928 0.2821 0.8058  1 O 0.98
8 H 0.2928 0.4869 0.0107  1 O 0.98
9 H 0.7072 0.5131 0.9893  1 O 0.98
10 H 0.7072 0.7179 0.1942  1 O 0.98
11 H 0.9762 0.2821 0.4893  1 O 0.98
12 H 0.9762 0.4869 0.6942  1 O 0.98
13 O 0.1263 0.6966 0.4297  2 H 0.98
14 O 0.2331 0.3034 0.9297  2 H 0.98
15 O 0.7669 0.6966 0.0703  2 H 0.98
16 O 0.8737 0.3034 0.5703  2 H 0.98
17 F 0.1732 0.2617 0.3391  1 H 1.82, 1 Fe 1.95
18 F 0.1732 0.8340 0.9115  1 H 1.82, 1 Fe 1.95
19 F 0.4226 0.2617 0.5885  1 H 1.82, 1 Fe 1.95
20 F 0.4226 0.8340 0.1609  1 H 1.82, 1 Fe 1.95
21 F 0.4329 0.6829 0.7500  2 Fe 1.98
22 F 0.5671 0.3171 0.2500  2 Fe 1.98
23 F 0.5774 0.1660 0.8391  1 H 1.82, 1 Fe 1.95
24 F 0.5774 0.7383 0.4115  1 H 1.82, 1 Fe 1.95
25 F 0.8268 0.1660 0.0885  1 H 1.82, 1 Fe 1.95
26 F 0.8268 0.7383 0.6609  1 H 1.82, 1 Fe 1.95